# 1
The following is a DFT calculation (GGA-PBEsol) of a geometry-optimized ZnCrTc2 structure.

abc: 2.569 4.177 5.042
angles: 90.00 103.59 90.00
Space group Pm (No. 6)
Asymmetric unit:
Zn 0.000 0.000 0.000 x1
Cr 0.765 0.500 0.239 x1
Tc 0.325 0.500 0.754 x1
Tc 0.590 0.000 0.484 x1

Values from the calculation:
Formation energy from the elements   0.177 eV per atom

=====

# 2
The following is a DFT calculation (GGA-PBEsol) of a geometry-optimized ZnCrTc structure.

abc: 3.002 3.002 8.621
angles: 90.00 90.00 90.00
Space group I4mm (No. 107)
Asymmetric unit:
Zn 0.000 0.000 0.000 x2
Cr 0.000 0.000 0.675 x2
Tc 0.000 0.000 0.314 x2

Values from the calculation:
Formation energy from the elements   0.056 eV per atom
Excess energy over the best structure of this formula in the dataset   0 kJ/mol of formula units

=====

# 3
The following is a DFT calculation (GGA-PBEsol) of a geometry-optimized ZnCrTc structure.

abc: 4.1789 4.1789 2.5391
angles: 90.00 90.00 120.00
Space group P3m1 (No. 156)
Asymmetric unit:
Zn 0.0000 0.0000 0.0000 x1
Cr 0.3333 0.6667 0.3480 x1
Tc 0.6667 0.3333 0.5881 x1

Values from the calculation:
Formation energy from the elements   0.098 eV per atom
Excess energy over the best structure of this formula in the dataset   12 kJ/mol of formula units

=====

# 4
The following is a DFT calculation (GGA-PBEsol) of a geometry-optimized ZnCrTc2 structure.

abc: 5.988 5.988 5.988
angles: 90.00 90.00 90.00
Space group F-43m (No. 216)
Asymmetric unit:
Zn 0.000 0.000 0.000 x4
Cr 0.250 0.250 0.250 x4
Tc 0.000 0.000 0.500 x4
Tc 0.250 0.250 0.750 x4

Values from the calculation:
Formation energy from the elements   0.223 eV per atom

=====

# 5
The following is a DFT calculation (GGA-PBEsol) of a geometry-optimized Zr2CrTc structure.

abc: 3.244 3.244 6.471
angles: 90.00 90.00 90.00
Space group P4/mmm (No. 123)
Asymmetric unit:
Zr 0.000 0.000 0.246 x2
Cr 0.500 0.500 0.500 x1
Tc 0.500 0.500 0.000 x1

Values from the calculation:
Formation energy from the elements   -0.059 eV per atom

=====

# 6
The following is a DFT calculation (GGA-PBEsol) of a geometry-optimized Cr2Te3 structure.

abc: 3.8175 3.8175 28.1129
angles: 90.00 90.00 120.00
Space group R-3m (No. 166, hexagonal axes)
Asymmetric unit:
Cr 0.0000 0.0000 0.1045 x6
Te 0.0000 0.0000 0.2810 x6
Te 0.0000 0.0000 0.5000 x3

Values from the calculation:
Uncorrected formation energy   -0.23 eV per formula unit

=====

# 7
The following is a DFT calculation (GGA-PBEsol) of a geometry-optimized Cr3Te4 structure.

abc: 3.9321 3.9321 11.9443
angles: 90.00 90.00 120.00
Space group P-3m1 (No. 164)
Asymmetric unit:
Cr 0.0000 0.0000 0.0000 x1
Cr 0.0000 0.0000 0.2608 x2
Te 0.3333 0.6667 0.1287 x2
Te 0.3333 0.6667 0.6224 x2

Values from the calculation:
Uncorrected formation energy   -0.42 eV per formula unit

=====

# 8
The following is a DFT calculation (GGA-PBEsol) of a geometry-optimized Cr2Te structure.

abc: 8.791 3.133 6.785
angles: 90.00 110.86 90.00
Space group C2/m (No. 12)
Asymmetric unit:
Cr 0.171 0.000 0.039 x4
Cr 0.177 0.000 0.635 x4
Te 0.021 0.500 0.272 x4

Values from the calculation:
Uncorrected formation energy   1.23 eV per formula unit

=====

Question: Which formula does entry 5 have?
Answer: Zr2CrTc